# 1
Pu2ScTe2N2 (PBE, relaxed); SG = I4/mmm; final energy = -9.449 eV per atom; formation energy without anion corrections = -1.17 eV per atom
1.0
-2.0963 2.0963 7.9972
2.0963 -2.0963 7.9972
2.0963 2.0963 -7.9972
Pu Sc Te N
2 1 2 2
direct
0.0961 0.0961 0.0000
0.9039 0.9039 0.0000
0.5000 0.5000 0.0000
0.3154 0.3154 0.0000
0.6846 0.6846 0.0000
0.0000 0.5000 0.5000
0.5000 0.0000 0.5000

---

# 2
Be2ZnCl (PBE, relaxed); SG = Cmm2; final energy = -2.414 eV per atom; formation energy without anion corrections = 0.23 eV per atom
1.0
1.3972 -2.7660 0.0000
1.3972 2.7660 0.0000
0.0000 0.0000 9.4007
Be Zn Cl
2 1 1
direct
0.0000 0.0000 0.0000
0.5000 0.5000 0.1923
0.0000 0.0000 0.3999
0.5000 0.5000 0.8499

---

# 3
La8Sn2Hg (PBE, relaxed); SG = C2/m; ΔE_f = -0.383 eV per atom; final energy = -4.722 eV per atom
1.0
9.6893 -2.6588 0.0000
9.6893 2.6588 0.0000
-2.7327 0.0000 7.1226
La Sn Hg
8 2 1
direct
0.0069 0.0069 0.2563
0.2099 0.2099 0.8070
0.3409 0.3409 0.5397
0.4113 0.4113 0.0406
0.5887 0.5887 0.9594
0.6591 0.6591 0.4603
0.7901 0.7901 0.1930
0.9931 0.9931 0.7437
0.1738 0.1738 0.2063
0.8262 0.8262 0.7937
0.5000 0.5000 0.5000

---

# 4
LaReMo2 (PBE, relaxed); SG = P4/mmm; ΔE_f = 0.385 eV per atom; final energy = -9.375 eV per atom
1.0
3.1720 0.0000 0.0000
0.0000 3.1720 0.0000
0.0000 0.0000 7.7631
La Re Mo
1 1 2
direct
0.0000 0.0000 0.0000
0.0000 0.0000 0.5000
0.5000 0.5000 0.3102
0.5000 0.5000 0.6898

---

# 5
Na2Ga2Cu (PBE, relaxed); SG = P4/mbm; ΔE_f = -0.014 eV per atom; final energy = -2.571 eV per atom
1.0
6.4454 0.0000 0.0000
0.0000 6.4454 0.0000
0.0000 0.0000 5.1464
Na Ga Cu
4 4 2
direct
0.1776 0.3224 0.0000
0.3224 0.8224 0.0000
0.6776 0.1776 0.0000
0.8224 0.6776 0.0000
0.1420 0.6420 0.5000
0.3580 0.1420 0.5000
0.6420 0.8580 0.5000
0.8580 0.3580 0.5000
0.0000 0.0000 0.5000
0.5000 0.5000 0.5000

---

# 6
CaBeSi2Au (PBE, relaxed); SG = P4/mmm; final energy = -3.595 eV per atom; formation energy without anion corrections = 0.37 eV per atom
1.0
5.0070 0.0000 0.0000
0.0000 5.0070 0.0000
0.0000 0.0000 4.3738
Ca Be Si Au
1 1 2 1
direct
0.0000 0.0000 0.0000
0.5000 0.5000 0.0000
0.0000 0.5000 0.5000
0.5000 0.0000 0.5000
0.5000 0.5000 0.5000